(1)
Material: PuGa3Ir2
Method: DFT, PBE-GGA
State: relaxed

a = 5.7920 Å, b = 5.7920 Å, c = 21.9737 Å
α = 90.00°, β = 90.00°, γ = 120.00°
Space group R-3m (No. 166, hexagonal axes)
Inequivalent atoms, fractional coordinates:
Pu1 0.0000 0.0000 0.2073 x6
Ga1 0.0059 0.5030 0.2418 x18
Ir1 0.0000 0.0000 0.0000 x3
Ir2 0.0000 0.5000 0.0000 x9

Summary:
ΔH_f (0 K) (eV/atom): -0.295
Total DFT energy (no corrections) (eV/atom): -7.151

---

(2)
Material: Cs3HoI6
Method: DFT, PBE-GGA
State: relaxed

a = 9.006 Å, b = 9.597 Å, c = 15.503 Å
α = 90.00°, β = 124.18°, γ = 90.00°
Space group P2_1/c (No. 14)
Inequivalent atoms, fractional coordinates:
Cs1 0.000 0.000 0.000 x2
Cs2 0.213 0.076 0.744 x4
Ho1 0.500 0.000 0.500 x2
I1 0.178 0.173 0.450 x4
I2 0.270 0.737 0.430 x4
I3 0.401 0.047 0.280 x4

Summary:
Total DFT energy (no corrections) (eV/atom): -3.155
ΔE_f (raw) (eV/atom): -1.511

---

(3)
Material: BaTe2As
Method: DFT, PBE-GGA
State: relaxed

a = 12.626 Å, b = 4.615 Å, c = 4.683 Å
α = 90.00°, β = 90.08°, γ = 90.00°
Space group Cm (No. 8)
Inequivalent atoms, fractional coordinates:
Ba1 0.000 0.000 0.000 x2
Te1 0.210 0.500 0.998 x2
Te2 0.421 0.000 0.500 x2
As1 0.216 0.000 0.500 x2

Summary:
Total DFT energy (no corrections) (eV/atom): -3.943
ΔE_f (raw) (eV/atom): -0.729

---

(4)
Material: MnIn3P
Method: DFT, PBE-GGA
State: relaxed

a = 5.093 Å, b = 5.093 Å, c = 5.093 Å
α = 90.00°, β = 90.00°, γ = 90.00°
Space group Pm-3m (No. 221)
Inequivalent atoms, fractional coordinates:
Mn1 0.000 0.000 0.000 x1
In1 0.000 0.000 0.500 x3
P1 0.500 0.500 0.500 x1

Summary:
ΔH_f (0 K) (eV/atom): 0.619
Total DFT energy (no corrections) (eV/atom): -3.940
Polymorph energy (0 for the lowest one) (meV/atom): 0

---

(5)
Material: LaMg3Sc
Method: DFT, PBE-GGA
State: relaxed

a = 5.621 Å, b = 5.621 Å, c = 5.621 Å
α = 90.00°, β = 90.00°, γ = 90.00°
Space group Pm-3m (No. 221)
Inequivalent atoms, fractional coordinates:
La1 0.000 0.000 0.000 x1
Mg1 0.000 0.000 0.500 x3
Sc1 0.500 0.500 0.500 x1

Summary:
ΔH_f (0 K) (eV/atom): 1.153
Total DFT energy (no corrections) (eV/atom): -2.056
Polymorph energy (0 for the lowest one) (meV/atom): 631

---

(6)
Material: LaSc3Sb2
Method: DFT, PBE-GGA
State: relaxed

a = 18.478 Å, b = 4.364 Å, c = 9.333 Å
α = 90.00°, β = 119.60°, γ = 90.00°
Space group C2/m (No. 12)
Inequivalent atoms, fractional coordinates:
La1 0.130 0.000 0.078 x4
Sc1 0.055 0.000 0.409 x4
Sc2 0.093 0.500 0.683 x4
Sc3 0.188 0.500 0.467 x4
Sb1 0.020 0.500 0.177 x4
Sb2 0.217 0.000 0.729 x4

Summary:
Total DFT energy (no corrections) (eV/atom): -6.041
ΔE_f (raw) (eV/atom): -0.680